{"formula": "CrI2O2", "functional": "PBE+U", "state": "relaxed", "lattice_angstrom": [[-1.649, -3.460, 1.471], [1.541, -2.087, -3.182], [5.834, -1.236, 3.636]], "species": ["I", "I", "Cr", "O", "O"], "frac_coords": [[0.500, 0.500, 0.500], [0.000, 0.000, 0.500], [0.000, 0.000, 0.000], [0.000, 0.500, 0.000], [0.500, 0.000, 0.000]], "rho_g_cm3": 4.77, "dos_at_fermi_per_ev_cell": 3.5, "polymorph_energy_ev_per_atom": 0.000, "dft_energy_ev_per_atom": -4.24, "crystal_system": "tetragonal"}